A relaxed structure of RbTl2Te2. Source: Alexandria, functional PBE-GGA.

As for the polymorph energy (0 for the lowest one): 1.034 kcal/mol of atoms. As for the crystal system: tetragonal. For the magnetic moment, the calculation gives 0.00 μB/f.u.

Cell: 9.590 9.590 3.939 Å, 90.00 90.00 90.00°
Space group P4/mbm (No. 127)
Inequivalent atoms, fractional coordinates:
1 Rb 0.000 0.000 0.000 [2 per cell]
2 Tl 0.122 0.378 0.000 [4 per cell]
3 Te 0.179 0.679 0.500 [4 per cell]

A relaxed structure of Rb2Tl5Te4. Source: Alexandria, functional PBE-GGA.

As for the electronic total energy: -0.2049 Ry/atom. As for the crystal system: orthorhombic. For the magnetic moment, the calculation gives 0.00 μB/f.u.

Cell: 6.758 16.518 17.145 Å, 90.00 90.00 90.00°
Space group Fmmm (No. 69)
Inequivalent atoms, fractional coordinates:
1 Rb 0.000 0.000 0.175 [8 per cell]
2 Tl 0.000 0.000 0.500 [4 per cell]
3 Tl 0.250 0.250 0.000 [8 per cell]
4 Tl 0.250 0.250 0.250 [8 per cell]
5 Te 0.000 0.129 0.361 [16 per cell]

A relaxed structure of RbTl3Te3. Source: Alexandria, functional PBE-GGA.

As for the polymorph energy (0 for the lowest one): 3.123 kcal/mol of atoms. As for the crystal system: cubic. For the magnetic moment, the calculation gives 0.00 μB/f.u.

Cell: 8.912 8.912 8.912 Å, 90.00 90.00 90.00°
Space group Pm-3n (No. 223)
Inequivalent atoms, fractional coordinates:
1 Rb 0.000 0.000 0.000 [2 per cell]
2 Tl 0.000 0.250 0.500 [6 per cell]
3 Te 0.000 0.500 0.250 [6 per cell]

A relaxed structure of RbTlTe2. Source: Alexandria, functional PBE-GGA.

As for the electronic total energy: -0.2084 Ry/atom. As for the crystal system: orthorhombic. For the magnetic moment, the calculation gives 0.00 μB/f.u.

Cell: 5.163 8.046 9.482 Å, 90.00 90.00 90.00°
Space group Amm2 (No. 38)
Inequivalent atoms, fractional coordinates:
1 Rb 0.000 0.000 0.000 [2 per cell]
2 Tl 0.500 0.000 0.440 [2 per cell]
3 Te 0.500 0.178 0.742 [4 per cell]

A relaxed structure of Rb3Tl5Te12. Source: Alexandria, functional PBE-GGA.

As for the electronic total energy: -0.2114 Ry/atom. As for the crystal system: cubic. For the magnetic moment, the calculation gives 0.00 μB/f.u.

Cell: 19.885 19.885 19.885 Å, 90.00 90.00 90.00°
Space group Ia-3d (No. 230)
Inequivalent atoms, fractional coordinates:
1 Rb 0.000 0.250 0.125 [24 per cell]
2 Tl 0.000 0.000 0.000 [16 per cell]
3 Tl 0.000 0.250 0.375 [24 per cell]
4 Te 0.069 0.082 0.628 [96 per cell]

A relaxed structure of RbTlTe2. Source: Alexandria, functional PBE-GGA.

As for the electronic total energy: -0.2046 Ry/atom. As for the crystal system: trigonal. For the magnetic moment, the calculation gives 0.00 μB/f.u.

Cell: 4.5365 4.5365 26.0927 Å, 90.00 90.00 120.00°
Space group R3m (No. 160, hexagonal axes)
Inequivalent atoms, fractional coordinates:
1 Rb 0.0000 0.0000 0.0000 [3 per cell]
2 Tl 0.0000 0.0000 0.8335 [3 per cell]
3 Te 0.0000 0.0000 0.2333 [3 per cell]
4 Te 0.0000 0.0000 0.4347 [3 per cell]

A relaxed structure of RbTl6Te4. Source: Alexandria, functional PBE-GGA.

As for the polymorph energy (0 for the lowest one): 0.092 kcal/mol of atoms. As for the crystal system: tetragonal. For the magnetic moment, the calculation gives 0.00 μB/f.u.

Cell: 8.444 8.444 12.801 Å, 90.00 90.00 90.00°
Space group I-42m (No. 121)
Inequivalent atoms, fractional coordinates:
1 Rb 0.000 0.000 0.000 [2 per cell]
2 Tl 0.000 0.500 0.000 [4 per cell]
3 Tl 0.165 0.165 0.362 [8 per cell]
4 Te 0.222 0.222 0.630 [8 per cell]

A relaxed structure of RbTl3Te. Source: Alexandria, functional PBE-GGA.

As for the polymorph energy (0 for the lowest one): 0.000 kcal/mol of atoms. As for the crystal system: cubic. For the magnetic moment, the calculation gives 0.00 μB/f.u.

Cell: 6.435 6.435 6.435 Å, 90.00 90.00 90.00°
Space group Pm-3m (No. 221)
Inequivalent atoms, fractional coordinates:
1 Rb 0.000 0.000 0.000 [1 per cell]
2 Tl 0.000 0.500 0.500 [3 per cell]
3 Te 0.500 0.500 0.500 [1 per cell]

A relaxed structure of RbTlTe3. Source: Alexandria, functional PBE-GGA.

As for the polymorph energy (0 for the lowest one): 8.683 kcal/mol of atoms. As for the crystal system: cubic. For the magnetic moment, the calculation gives 0.00 μB/f.u.

Cell: 5.920 5.920 5.920 Å, 90.00 90.00 90.00°
Space group Pm-3m (No. 221)
Inequivalent atoms, fractional coordinates:
1 Rb 0.000 0.000 0.000 [1 per cell]
2 Tl 0.500 0.500 0.500 [1 per cell]
3 Te 0.000 0.500 0.500 [3 per cell]

A relaxed structure of RbTlTe2. Source: Alexandria, functional PBE-GGA.

As for the electronic total energy: -0.1875 Ry/atom. As for the crystal system: trigonal. For the magnetic moment, the calculation gives 0.00 μB/f.u.

Cell: 4.5361 4.5361 30.7785 Å, 90.00 90.00 120.00°
Space group R-3m (No. 166, hexagonal axes)
Inequivalent atoms, fractional coordinates:
1 Rb 0.0000 0.0000 0.0000 [3 per cell]
2 Tl 0.0000 0.0000 0.5000 [3 per cell]
3 Te 0.0000 0.0000 0.1111 [6 per cell]

A relaxed structure of Rb3TlTe3. Source: Alexandria, functional PBE-GGA.

As for the polymorph energy (0 for the lowest one): 0.000 kcal/mol of atoms. As for the crystal system: monoclinic. For the magnetic moment, the calculation gives 0.00 μB/f.u.

Cell: 10.364 9.083 14.252 Å, 90.00 99.11 90.00°
Space group P2_1/c (No. 14)
Inequivalent atoms, fractional coordinates:
1 Rb 0.087 0.182 0.116 [4 per cell]
2 Rb 0.290 0.732 0.782 [4 per cell]
3 Rb 0.403 0.238 0.918 [4 per cell]
4 Tl 0.183 0.583 0.044 [4 per cell]
5 Te 0.066 0.072 0.370 [4 per cell]
6 Te 0.253 0.618 0.516 [4 per cell]
7 Te 0.384 0.076 0.660 [4 per cell]

A relaxed structure of Rb5Tl2Te5. Source: Alexandria, functional PBE-GGA.

As for the polymorph energy (0 for the lowest one): 0.000 kcal/mol of atoms. As for the crystal system: monoclinic. For the magnetic moment, the calculation gives 0.00 μB/f.u.

Cell: 16.534 4.973 13.824 Å, 90.00 106.39 90.00°
Space group C2/m (No. 12)
Inequivalent atoms, fractional coordinates:
1 Rb 0.000 0.000 0.000 [2 per cell]
2 Rb 0.162 0.000 0.566 [4 per cell]
3 Rb 0.237 0.500 0.136 [4 per cell]
4 Tl 0.037 0.500 0.298 [4 per cell]
5 Te 0.000 0.500 0.500 [2 per cell]
6 Te 0.107 0.500 0.879 [4 per cell]
7 Te 0.152 0.000 0.294 [4 per cell]

A relaxed structure of Rb5Tl2Te4. Source: Alexandria, functional PBE-GGA.

As for the electronic total energy: -0.2030 Ry/atom. As for the crystal system: monoclinic. For the magnetic moment, the calculation gives 0.00 μB/f.u.

Cell: 18.496 5.755 9.896 Å, 90.00 93.03 90.00°
Space group C2/m (No. 12)
Inequivalent atoms, fractional coordinates:
1 Rb 0.000 0.000 0.000 [2 per cell]
2 Rb 0.158 0.500 0.510 [4 per cell]
3 Rb 0.159 0.500 0.969 [4 per cell]
4 Tl 0.030 0.000 0.649 [4 per cell]
5 Te 0.017 0.500 0.244 [4 per cell]
6 Te 0.189 0.000 0.745 [4 per cell]

A relaxed structure of RbTlTe3. Source: Alexandria, functional PBE-GGA.

As for the polymorph energy (0 for the lowest one): 5.602 kcal/mol of atoms. As for the crystal system: trigonal. For the magnetic moment, the calculation gives 0.00 μB/f.u.

Cell: 9.1966 9.1966 15.3789 Å, 90.00 90.00 120.00°
Space group R-3c (No. 167, hexagonal axes)
Inequivalent atoms, fractional coordinates:
1 Rb 0.0000 0.0000 0.2500 [6 per cell]
2 Tl 0.0000 0.0000 0.0000 [6 per cell]
3 Te 0.0000 0.4132 0.2500 [18 per cell]

A relaxed structure of Rb3U2TlTe6. Source: Alexandria, functional PBE-GGA.

As for the electronic total energy: -0.3455 Ry/atom. As for the crystal system: monoclinic. For the magnetic moment, the calculation gives 4.00 μB/f.u.

Cell: 21.406 4.608 10.236 Å, 90.00 106.10 90.00°
Space group C2/m (No. 12)
Inequivalent atoms, fractional coordinates:
1 Rb 0.000 0.000 0.000 [2 per cell]
2 Rb 0.154 0.500 0.341 [4 per cell]
3 U 0.169 0.500 0.837 [4 per cell]
4 Tl 0.000 0.000 0.500 [2 per cell]
5 Te 0.027 0.500 0.756 [4 per cell]
6 Te 0.172 0.000 0.638 [4 per cell]
7 Te 0.178 0.000 0.053 [4 per cell]

A relaxed structure of Rb2UTl3Te6. Source: Alexandria, functional PBE-GGA.

As for the electronic total energy: -0.2804 Ry/atom. As for the crystal system: monoclinic. For the magnetic moment, the calculation gives 0.00 μB/f.u.

Cell: 8.691 15.691 8.002 Å, 90.00 112.27 90.00°
Space group C2/m (No. 12)
Inequivalent atoms, fractional coordinates:
1 Rb 0.000 0.172 0.000 [4 per cell]
2 U 0.000 0.500 0.000 [2 per cell]
3 Tl 0.000 0.000 0.500 [2 per cell]
4 Tl 0.000 0.356 0.500 [4 per cell]
5 Te 0.209 0.500 0.780 [4 per cell]
6 Te 0.215 0.367 0.232 [8 per cell]

A relaxed structure of Rb2U3TlTe8. Source: Alexandria, functional PBE-GGA.

As for the electronic total energy: -0.3812 Ry/atom. As for the crystal system: trigonal. For the magnetic moment, the calculation gives 5.00 μB/f.u.

Cell: 9.0517 9.0517 26.8311 Å, 90.00 90.00 120.00°
Space group R3m (No. 160, hexagonal axes)
Inequivalent atoms, fractional coordinates:
1 Rb 0.0000 0.0000 0.0000 [3 per cell]
2 Rb 0.0000 0.0000 0.3588 [3 per cell]
3 U 0.0010 0.5005 0.4988 [9 per cell]
4 Tl 0.0000 0.0000 0.6232 [3 per cell]
5 Te 0.0000 0.0000 0.2269 [3 per cell]
6 Te 0.0000 0.0000 0.7694 [3 per cell]
7 Te 0.0235 0.5118 0.7721 [9 per cell]
8 Te 0.1769 0.3538 0.5609 [9 per cell]

A relaxed structure of Rb3UTl2Te6. Source: Alexandria, functional PBE-GGA.

As for the electronic total energy: -0.2799 Ry/atom. As for the crystal system: monoclinic. For the magnetic moment, the calculation gives 0.30 μB/f.u.

Cell: 8.282 14.286 8.736 Å, 90.00 108.25 90.00°
Space group C2/m (No. 12)
Inequivalent atoms, fractional coordinates:
1 Rb 0.000 0.000 0.000 [2 per cell]
2 Rb 0.000 0.321 0.000 [4 per cell]
3 U 0.000 0.500 0.500 [2 per cell]
4 Tl 0.000 0.164 0.500 [4 per cell]
5 Te 0.215 0.352 0.699 [8 per cell]
6 Te 0.223 0.500 0.295 [4 per cell]

A relaxed structure of RbTlVTe3. Source: Alexandria, functional PBE-GGA.

As for the electronic total energy: -0.3012 Ry/atom. As for the crystal system: monoclinic. For the magnetic moment, the calculation gives 1.01 μB/f.u.

Cell: 8.166 16.364 7.489 Å, 90.00 92.74 90.00°
Space group C2/c (No. 15)
Inequivalent atoms, fractional coordinates:
1 Rb 0.000 0.198 0.250 [4 per cell]
2 Tl 0.000 0.412 0.750 [4 per cell]
3 V 0.000 0.056 0.750 [4 per cell]
4 Te 0.000 0.211 0.750 [4 per cell]
5 Te 0.211 0.008 0.500 [8 per cell]